No. 1
## Li4Ag2O (PBE)

Data for a geometry-optimized Li4Ag2O structure.

Cell lengths 3.7151, 3.7151, 7.9975 Å; angles 76.57, 76.57, 90.00 degrees
Sites, in units of the cell vectors:
Ag: 0.6991 0.6991 0.6019
Ag: 0.3009 0.3009 0.3981
Li: 0.5000 0.0000 0.0000
Li: 0.8736 0.8736 0.2529
Li: 0.1264 0.1264 0.7471
Li: 0.0000 0.5000 0.0000
O: 0.0000 0.0000 0.0000

Computed properties:
V   14.89 Å³ per atom
Crystal system   tetragonal
E_form (uncorrected)   -0.78 eV/atom
Space group   I4/mmm
Spin magnetization   0.00 Bohr magnetons per cell

No. 2
## Li12Ag3O5 (PBE)

Data for a geometry-optimized Li12Ag3O5 structure.

Cell lengths 11.2643, 11.2643, 11.2643 Å; angles 109.47, 109.47, 109.47 degrees
Sites, in units of the cell vectors:
Ag: 0.2500 0.6250 0.8750
Ag: 0.6250 0.3750 0.7500
Ag: 0.1250 0.2500 0.8750
Ag: 0.7500 0.3750 0.1250
Ag: 0.3750 0.6250 0.2500
Ag: 0.3750 0.7500 0.6250
Ag: 0.6250 0.2500 0.3750
Ag: 0.8750 0.1250 0.2500
Ag: 0.1250 0.8750 0.7500
Ag: 0.8750 0.7500 0.1250
Ag: 0.2500 0.1250 0.3750
Ag: 0.7500 0.8750 0.6250
Li: 0.0802 0.1839 0.1754
Li: 0.6754 0.0952 0.9915
Li: 0.0952 0.6754 0.4915
Li: 0.5085 0.6839 0.1037
Li: 0.4915 0.1754 0.0952
Li: 0.3161 0.4915 0.3963
Li: 0.1037 0.1839 0.5085
Li: 0.6839 0.1754 0.5802
Li: 0.9048 0.5802 0.8963
Li: 0.5085 0.8246 0.9048
Li: 0.9048 0.3246 0.5085
Li: 0.3161 0.8246 0.4198
Li: 0.3246 0.9048 0.0085
Li: 0.4048 0.0085 0.8246
Li: 0.0952 0.4198 0.1037
Li: 0.8963 0.0802 0.9048
Li: 0.1754 0.6839 0.0802
Li: 0.6754 0.5802 0.1839
Li: 0.8161 0.9198 0.3246
Li: 0.5952 0.9915 0.1754
Li: 0.9198 0.1037 0.5952
Li: 0.6839 0.5085 0.6037
Li: 0.8963 0.8161 0.4915
Li: 0.9915 0.5952 0.6754
Li: 0.0085 0.4048 0.3246
Li: 0.1839 0.0802 0.6754
Li: 0.3963 0.4048 0.5802
Li: 0.8246 0.3161 0.9198
Li: 0.6037 0.0085 0.6839
Li: 0.3246 0.4198 0.8161
Li: 0.0802 0.8963 0.4048
Li: 0.1037 0.9198 0.0952
Li: 0.4198 0.3246 0.3161
Li: 0.4048 0.3963 0.0802
Li: 0.4915 0.3161 0.8963
Li: 0.6037 0.5952 0.4198
Li: 0.1754 0.4915 0.5952
Li: 0.3963 0.9915 0.3161
Li: 0.0085 0.6037 0.1839
Li: 0.4198 0.0952 0.6037
Li: 0.1839 0.1037 0.0085
Li: 0.5802 0.6754 0.6839
Li: 0.5952 0.6037 0.9198
Li: 0.5802 0.9048 0.3963
Li: 0.8161 0.8963 0.9915
Li: 0.8246 0.5085 0.4048
Li: 0.9915 0.3963 0.8161
Li: 0.9198 0.8161 0.8246
O: 0.3750 0.1250 0.7500
O: 0.3750 0.2500 0.1250
O: 0.0000 0.5000 0.5000
O: 0.7500 0.6250 0.3750
O: 0.8750 0.2500 0.6250
O: 0.5000 0.5000 0.5000
O: 0.5000 0.0000 0.5000
O: 0.8750 0.6250 0.7500
O: 0.5000 0.5000 0.0000
O: 0.5000 0.0000 0.0000
O: 0.2500 0.3750 0.6250
O: 0.2500 0.8750 0.1250
O: 0.7500 0.1250 0.8750
O: 0.0000 0.0000 0.5000
O: 0.0000 0.5000 0.0000
O: 0.1250 0.3750 0.2500
O: 0.1250 0.7500 0.3750
O: 0.6250 0.7500 0.8750
O: 0.0000 0.0000 0.0000
O: 0.6250 0.8750 0.2500

Computed properties:
V   13.75 Å³ per atom
Crystal system   cubic
E_form (uncorrected)   -1.10 eV/atom
Space group   Ia-3d
Spin magnetization   0.00 Bohr magnetons per cell

No. 3
## LiAgO (PBE)

Data for a geometry-optimized LiAgO structure.

Cell lengths 2.8633, 2.8633, 4.8294 Å; angles 107.24, 107.24, 90.00 degrees
Sites, in units of the cell vectors:
Li: 0.8853 0.8853 0.7706
Ag: 0.6102 0.6102 0.2204
O: 0.3545 0.3545 0.7090

Computed properties:
V   11.98 Å³ per atom
Crystal system   tetragonal
E_form (uncorrected)   -0.65 eV/atom
Space group   I4mm
Spin magnetization   0.00 Bohr magnetons per cell

No. 4
## LiAg2O (PBE)

Data for a geometry-optimized LiAg2O structure.

Cell lengths 5.1036, 5.1036, 7.5951 Å; angles 70.37, 70.37, 90.00 degrees
Sites, in units of the cell vectors:
Ag: 0.8750 0.0146 0.7500
Ag: 0.9854 0.6250 0.2500
Ag: 0.7646 0.1250 0.2500
Ag: 0.3750 0.2354 0.7500
O: 0.7500 0.2500 0.5000
O: 0.0000 0.0000 0.0000
Li: 0.2500 0.7500 0.5000
Li: 0.5000 0.5000 0.0000

Computed properties:
V   21.76 Å³ per atom
Crystal system   tetragonal
E_form (uncorrected)   0.05 eV/atom
Space group   I-42d
Spin magnetization   0.00 Bohr magnetons per cell

No. 5
## Li5AgO4 (PBE)

Data for a geometry-optimized Li5AgO4 structure.

Cell lengths 4.7370, 6.3049, 7.2584 Å; angles 90.00, 90.00, 90.00 degrees
Last column: magnetic moment on the atom in μB.
Sites, in units of the cell vectors:
Li: 0.2481 0.2450 0.1960  0.00
Li: 0.2481 0.7550 0.1960  0.00
Li: 0.2481 0.7550 0.8040  0.00
Li: 0.2135 0.0000 0.5000  0.01
Li: 0.7519 0.2550 0.3040  0.00
Li: 0.7519 0.2550 0.6960  0.00
Li: 0.7865 0.5000 0.0000  0.01
Li: 0.2481 0.2450 0.8040  0.00
Li: 0.7519 0.7450 0.3040  0.00
Li: 0.7519 0.7450 0.6960  0.00
O: 0.9923 0.0000 0.2715  0.22
O: 0.5295 0.2568 0.0000  0.42
O: 0.0077 0.5000 0.2285  0.22
O: 0.5295 0.7432 0.0000  0.42
O: 0.9923 0.0000 0.7285  0.22
O: 0.0077 0.5000 0.7715  0.22
O: 0.4705 0.2432 0.5000  0.42
O: 0.4705 0.7568 0.5000  0.42
Ag: 0.1637 0.5000 0.5000  0.47
Ag: 0.8363 0.0000 0.0000  0.47

Computed properties:
V   10.84 Å³ per atom
Crystal system   orthorhombic
E_form (uncorrected)   -1.26 eV/atom
Space group   Pmmn
Spin magnetization   4.10 Bohr magnetons per cell

No. 6
## LiAgO (PBE)

Data for a geometry-optimized LiAgO structure.

Cell lengths 2.8737, 4.4141, 5.8993 Å; angles 89.98, 90.00, 109.00 degrees
Sites, in units of the cell vectors:
Li: 0.0000 0.0000 0.5000
Li: 0.0000 0.0000 0.0000
O: 0.5341 0.0682 0.7500
O: 0.4659 0.9318 0.2500
Ag: 0.7336 0.4672 0.2500
Ag: 0.2664 0.5328 0.7500

Computed properties:
V   11.79 Å³ per atom
Crystal system   orthorhombic
E_form (uncorrected)   -0.82 eV/atom
Space group   Cmcm
Spin magnetization   0.00 Bohr magnetons per cell

No. 7
## Li2Ag2O (PBE)

Data for a geometry-optimized Li2Ag2O structure.

Cell lengths 5.3179, 5.3179, 5.5795 Å; angles 90.00, 90.00, 90.00 degrees
Sites, in units of the cell vectors:
Ag: 0.8176 0.3176 0.5000
Ag: 0.1824 0.6824 0.5000
Ag: 0.3176 0.1824 0.5000
Ag: 0.6824 0.8176 0.5000
Li: 0.7787 0.7213 0.0000
Li: 0.2787 0.7787 0.0000
Li: 0.7213 0.2213 0.0000
Li: 0.2213 0.2787 0.0000
O: 0.0000 0.0000 0.0000
O: 0.5000 0.5000 0.0000

Computed properties:
V   15.78 Å³ per atom
Crystal system   tetragonal
E_form (uncorrected)   -0.66 eV/atom
Space group   P4/mbm
Spin magnetization   0.00 Bohr magnetons per cell

No. 8
## Li2AgO2 (PBE)

Data for a geometry-optimized Li2AgO2 structure.

Cell lengths 5.8793, 5.8793, 2.9763 Å; angles 90.00, 90.00, 90.00 degrees
Sites, in units of the cell vectors:
O: 0.1756 0.3244 0.0000
O: 0.3244 0.8244 0.0000
O: 0.8244 0.6756 0.0000
O: 0.6756 0.1756 0.0000
Ag: 0.5000 0.5000 0.0000
Ag: 0.0000 0.0000 0.0000
Li: 0.3624 0.1376 0.5000
Li: 0.8624 0.3624 0.5000
Li: 0.6376 0.8624 0.5000
Li: 0.1376 0.6376 0.5000

Computed properties:
V   10.29 Å³ per atom
Crystal system   tetragonal
E_form (uncorrected)   -0.99 eV/atom
Space group   P4/mbm
Spin magnetization   0.00 Bohr magnetons per cell